[1]
TiP6W3O24 | PBEsol | relaxed

Cell lengths 8.6453, 8.6453, 8.8857 Å; angles 60.89, 60.89, 60.00 degrees
Each line ends with the local moment (μB).
Atoms (fractional coordinates):
O 0.1382 0.2765 0.0814  0.00
O 0.2098 0.5777 0.7761  0.01
O 0.0601 0.9244 0.7251  0.01
O 0.0043 0.7740 0.5807  0.00
O 0.2260 0.3608 0.4187  0.00
O 0.7897 0.4226 0.2251  0.01
O 0.4939 0.8612 0.9195  0.01
O 0.9945 0.2260 0.4187  0.00
O 0.8612 0.7254 0.9195  0.01
O 0.5777 0.4364 0.7761  0.01
O 0.7740 0.6410 0.5807  0.00
O 0.3608 0.9945 0.4187  0.00
O 0.2904 0.0601 0.7251  0.01
O 0.0737 0.7103 0.2760  0.00
O 0.4226 0.5626 0.2251  0.01
O 0.7103 0.9401 0.2760  0.00
O 0.2765 0.5039 0.0814  0.00
O 0.5039 0.1382 0.0814  0.00
O 0.7254 0.4939 0.9195  0.01
O 0.4364 0.2098 0.7761  0.01
O 0.6410 0.0043 0.5807  0.00
O 0.5626 0.7897 0.2251  0.01
O 0.9401 0.0737 0.2760  0.00
O 0.9244 0.2904 0.7251  0.01
P 0.4696 0.0324 0.7471  0.01
P 0.2466 0.5368 0.2507  0.02
P 0.0324 0.7509 0.7471  0.01
P 0.9659 0.2466 0.2507  0.02
P 0.7509 0.4696 0.7471  0.01
P 0.5368 0.9659 0.2507  0.02
Ti 0.8581 0.8581 0.4258  0.22
W 0.3574 0.3574 0.9278  0.97
W 0.6423 0.6423 0.0732  0.98
W 0.1427 0.1427 0.5719  0.96

* space group: R3, No. 146
* density of states at the Fermi level: 11.529 states/eV per cell
* E_form (uncorrected): -2.201 eV per atom

***

[2]
TiZnP3WO12 | PBEsol | relaxed

Cell lengths 8.5564, 8.5564, 8.5564 Å; angles 60.67, 60.67, 60.67 degrees
Each line ends with the local moment (μB).
Atoms (fractional coordinates):
O 0.7435 0.0943 0.9369  0.01
O 0.5943 0.2435 0.4369  0.01
O 0.9995 0.3874 0.1810  -0.01
O 0.4369 0.5943 0.2435  0.01
O 0.1086 0.5038 0.3174  0.02
O 0.2435 0.4369 0.5943  0.01
O 0.5038 0.3174 0.1086  0.02
O 0.4995 0.6810 0.8874  -0.01
O 0.3874 0.1810 0.9995  -0.01
O 0.9369 0.7435 0.0943  0.01
O 0.9112 0.0577 0.2564  0.00
O 0.7564 0.5577 0.4112  0.00
O 0.0038 0.6086 0.8174  0.02
O 0.8174 0.0038 0.6086  0.02
O 0.0943 0.9369 0.7435  0.01
O 0.4112 0.7564 0.5577  0.00
O 0.8874 0.4995 0.6810  -0.01
O 0.6810 0.8874 0.4995  -0.01
O 0.0577 0.2564 0.9112  0.00
O 0.2564 0.9112 0.0577  0.00
O 0.6086 0.8174 0.0038  0.02
O 0.3174 0.1086 0.5038  0.02
O 0.1810 0.9995 0.3874  -0.01
O 0.5577 0.4112 0.7564  0.00
W 0.8584 0.8584 0.8584  1.74
W 0.3584 0.3584 0.3584  1.74
P 0.5432 0.2519 0.9523  0.02
P 0.0432 0.4523 0.7519  0.02
P 0.9523 0.5432 0.2519  0.02
P 0.7519 0.0432 0.4523  0.02
P 0.2519 0.9523 0.5432  0.02
P 0.4523 0.7519 0.0432  0.02
Zn 0.0025 0.0025 0.0025  0.02
Zn 0.5025 0.5025 0.5025  0.02
Ti 0.6439 0.6439 0.6439  0.65
Ti 0.1439 0.1439 0.1439  0.65

* space group: R3c, No. 161
* density of states at the Fermi level: 12.093 states/eV per cell
* E_form (uncorrected): -2.116 eV per atom

***

[3]
TiZnPO2 | PBEsol | relaxed

Cell lengths 3.7153, 3.7153, 4.6940 Å; angles 90.00, 90.00, 90.00 degrees
Atoms (fractional coordinates):
O 0.0000 0.5000 0.0000
O 0.5000 0.0000 0.0000
Ti 0.5000 0.5000 0.5000
Zn 0.0000 0.0000 0.0000
P 0.0000 0.0000 0.5000

* space group: P4/mmm, No. 123
* density of states at the Fermi level: 4.821 states/eV per cell
* E_form (uncorrected): -0.263 eV per atom

***

[4]
Ti2ZnP3O12 | PBEsol | relaxed

Cell lengths 8.4557, 8.4557, 8.4557 Å; angles 61.07, 61.07, 61.07 degrees
Each line ends with the local moment (μB).
Atoms (fractional coordinates):
Ti 0.6438 0.6438 0.6438  0.47
Ti 0.8562 0.8562 0.8562  0.47
Ti 0.3562 0.3562 0.3562  0.47
Ti 0.1438 0.1438 0.1438  0.47
O 0.9419 0.0897 0.7425  0.00
O 0.4998 0.8864 0.6805  -0.01
O 0.3864 0.9998 0.1805  -0.01
O 0.9998 0.1805 0.3864  -0.01
O 0.5897 0.4419 0.2425  0.00
O 0.2425 0.5897 0.4419  0.00
O 0.5581 0.7575 0.4103  0.00
O 0.4419 0.2425 0.5897  0.00
O 0.8195 0.6136 0.0002  -0.01
O 0.3195 0.5002 0.1136  -0.01
O 0.6136 0.0002 0.8195  -0.01
O 0.6805 0.4998 0.8864  -0.01
O 0.1805 0.3864 0.9998  -0.01
O 0.9103 0.2575 0.0581  0.00
O 0.2575 0.0581 0.9103  0.00
O 0.0581 0.9103 0.2575  0.00
O 0.7575 0.4103 0.5581  0.00
O 0.0002 0.8195 0.6136  -0.01
O 0.5002 0.1136 0.3195  -0.01
O 0.0897 0.7425 0.9419  0.00
O 0.1136 0.3195 0.5002  -0.01
O 0.7425 0.9419 0.0897  0.00
O 0.4103 0.5581 0.7575  0.00
O 0.8864 0.6805 0.4998  -0.01
Zn 0.5000 0.5000 0.5000  0.01
Zn 0.0000 0.0000 0.0000  0.01
P 0.0454 0.7500 0.4546  0.01
P 0.9546 0.2500 0.5454  0.01
P 0.5454 0.9546 0.2500  0.01
P 0.4546 0.0454 0.7500  0.01
P 0.2500 0.5454 0.9546  0.01
P 0.7500 0.4546 0.0454  0.01

* space group: R-3c, No. 167
* density of states at the Fermi level: 6.864 states/eV per cell
* E_form (uncorrected): -2.409 eV per atom

***

[5]
ZrTiP2O | PBEsol | relaxed

Cell lengths 3.6408, 4.7336, 4.7336 Å; angles 90.00, 90.00, 90.00 degrees
Atoms (fractional coordinates):
O 0.5000 0.0000 0.0000
Ti 0.0000 0.0000 0.0000
P 0.0000 0.0000 0.5000
P 0.0000 0.5000 0.0000
Zr 0.5000 0.5000 0.5000

* space group: P4/mmm, No. 123
* density of states at the Fermi level: 1.748 states/eV per cell
* E_form (uncorrected): -1.003 eV per atom

***

[6]
TlPO3 | PBEsol | relaxed

Cell lengths 7.5729, 7.5729, 11.0888 Å; angles 90.00, 90.00, 90.00 degrees
Atoms (fractional coordinates):
Tl 0.0000 0.5000 0.2759
Tl 0.0000 0.5000 0.7759
Tl 0.5000 0.5000 0.3342
Tl 0.5000 0.0000 0.2241
Tl 0.0000 0.0000 0.1658
Tl 0.0000 0.0000 0.8342
Tl 0.5000 0.0000 0.7241
Tl 0.5000 0.5000 0.6658
P 0.6537 0.7226 0.9664
P 0.7226 0.3463 0.0336
P 0.3463 0.2774 0.9664
P 0.7774 0.8463 0.4664
P 0.8463 0.2226 0.5336
P 0.2226 0.1537 0.4664
P 0.1537 0.7774 0.5336
P 0.2774 0.6537 0.0336
O 0.8002 0.0578 0.4467
O 0.3058 0.1133 0.0364
O 0.7006 0.2703 0.1580
O 0.2703 0.2994 0.8420
O 0.6133 0.8058 0.5364
O 0.8867 0.3058 0.9636
O 0.5578 0.3002 0.9467
O 0.1133 0.6942 0.9636
O 0.7994 0.7703 0.3420
O 0.3002 0.4422 0.0533
O 0.0578 0.1998 0.5533
O 0.2994 0.7297 0.1580
O 0.7297 0.7006 0.8420
O 0.9422 0.8002 0.5533
O 0.1942 0.6133 0.4636
O 0.6998 0.5578 0.0533
O 0.6942 0.8867 0.0364
O 0.2297 0.7994 0.6580
O 0.7703 0.2006 0.6580
O 0.3867 0.1942 0.5364
O 0.1998 0.9422 0.4467
O 0.4422 0.6998 0.9467
O 0.8058 0.3867 0.4636
O 0.2006 0.2297 0.3420

* space group: P-42_1c, No. 114
* density of states at the Fermi level: 0.000 states/eV per cell
* E_form (uncorrected): -1.817 eV per atom

***

[7]
TlPO4 | PBEsol | relaxed

Cell lengths 4.8913, 4.8913, 7.1389 Å; angles 90.00, 90.00, 112.43 degrees
Atoms (fractional coordinates):
P 0.6467 0.3533 0.2500
P 0.3533 0.6467 0.7500
Tl 0.0000 0.0000 0.0000
Tl 0.0000 0.0000 0.5000
O 0.2573 0.7427 0.9345
O 0.2324 0.2991 0.7500
O 0.2573 0.7427 0.5655
O 0.7676 0.7009 0.2500
O 0.7009 0.7676 0.7500
O 0.2991 0.2324 0.2500
O 0.7427 0.2573 0.4345
O 0.7427 0.2573 0.0655

* space group: Cmcm, No. 63
* E_form (uncorrected): -1.615 eV per atom